Entry 1:
Ba2As2Pb | GGA-PBE | optimized geometry

Computed properties:
DFT formation energy (eV per atom): -0.3548

extended XYZ file:
```
5
Lattice="5.7554 0.0000 0.0000 0.0000 5.7554 0.0000 2.8777 2.8777 5.6752" Properties=species:S:1:pos:R:3 pbc="T T T"
Pb 0.0000 0.0000 0.0000
As 2.8777 2.8777 1.2133
As 5.7554 5.7554 4.4619
Ba 5.7554 2.8777 2.8376
Ba 2.8777 5.7554 2.8376
```

***

Entry 2:
Ba2AsPb | GGA-PBE | optimized geometry

Computed properties:
DFT formation energy (eV per atom): -0.2324

extended XYZ file:
```
4
Lattice="-2.1313 -4.2828 3.2799 -1.8904 -4.8888 -2.4835 2.9948 -4.9254 0.6431" Properties=species:S:1:pos:R:3 pbc="T T T"
Pb -0.7702 -10.5728 1.0796
As -0.5135 -7.0485 0.7197
Ba 0.0000 0.0000 0.0000
Ba -0.2567 -3.5243 0.3599
```

***

Entry 3:
Ba3AsPb | GGA-PBE | optimized geometry

Computed properties:
DFT formation energy (eV per atom): -0.6010

extended XYZ file:
```
5
Lattice="-5.4432 1.4006 -2.8461 -3.0114 -0.5055 5.5106 0.9967 6.1215 1.1063" Properties=species:S:1:pos:R:3 pbc="T T T"
Pb -3.7289 3.5083 1.8854
As 0.0000 0.0000 0.0000
Ba -1.5057 -0.2528 2.7553
Ba 0.4984 3.0608 0.5531
Ba -2.7216 0.7003 -1.4230
```

***

Copy entry 1 word for word.
Ba2As2Pb | GGA-PBE | optimized geometry

Computed properties:
DFT formation energy (eV per atom): -0.3548

extended XYZ file:
```
5
Lattice="5.7554 0.0000 0.0000 0.0000 5.7554 0.0000 2.8777 2.8777 5.6752" Properties=species:S:1:pos:R:3 pbc="T T T"
Pb 0.0000 0.0000 0.0000
As 2.8777 2.8777 1.2133
As 5.7554 5.7554 4.4619
Ba 5.7554 2.8777 2.8376
Ba 2.8777 5.7554 2.8376
```

***

What is the DFT formation energy in the third record?
-0.6010 eV per atom

***

Among the records above, which one has the highest DFT formation energy?
Ba2AsPb